1.
PBE Sr2GePd2, optimized geometry; spin magnetization = 0.0 μB per cell; formation enthalpy at 0 K = -0.384 eV/atom; DOS at the Fermi energy = 2.86 states/eV/cell
1.0
-3.646 -0.326 -0.955
-0.907 -0.515 3.636
-3.346 8.578 2.347
Sr Ge Pd
2 1 2
Cartesian
-2.513 1.571 1.563
-5.386 6.166 3.465
0.000 0.000 0.000
-4.634 3.916 1.366
-3.265 3.822 3.662

---

2.
PBE Sr3Ge2Pd, optimized geometry; spin magnetization = 0.0 μB per cell; formation enthalpy at 0 K = -0.601 eV/atom; DOS at the Fermi energy = 18.82 states/eV/cell
1.0
-2.923 3.379 0.669
-5.118 -6.359 9.761
8.100 5.463 7.806
Sr Ge Pd
12 8 4
Cartesian
-2.144 -1.216 4.405
2.203 3.699 13.831
-3.189 -0.700 12.487
3.248 3.183 5.749
-2.679 -2.499 8.548
2.738 4.982 9.688
-0.782 2.909 4.773
0.841 -0.426 13.463
0.099 0.102 7.552
-0.040 2.381 10.684
-6.119 -2.870 10.649
6.178 5.353 7.587
-0.537 -1.037 10.521
0.597 3.520 7.715
-2.860 1.526 2.679
2.919 0.957 15.557
1.567 2.348 2.619
-1.508 0.135 15.618
-3.164 0.378 7.148
3.223 2.105 11.088
-0.405 0.667 2.492
0.464 1.816 15.744
-2.428 0.524 9.632
2.487 1.959 8.604

---

3.
PBE Sr3Ge5Pd6, optimized geometry; spin magnetization = 0.0 μB per cell; formation enthalpy at 0 K = -0.668 eV/atom; DOS at the Fermi energy = 18.27 states/eV/cell
1.0
-3.685 -0.874 -1.833
-0.324 -9.217 5.046
-6.304 5.677 9.967
Sr Ge Pd
6 10 12
Cartesian
-4.206 1.409 7.785
-3.059 -6.472 4.406
-7.416 -2.547 11.295
-0.083 -2.366 1.295
-5.235 -4.449 7.817
-2.260 -0.344 4.707
-5.713 0.252 11.365
-4.526 -4.047 11.029
-0.290 -8.262 4.523
-5.910 -1.390 7.715
-5.028 1.446 4.590
-0.925 -4.060 3.795
-4.394 -2.755 5.318
-2.331 -6.023 7.558
-7.096 2.908 8.051
-2.987 -0.792 1.554
-5.230 4.618 8.312
-6.393 -5.757 10.768
-7.015 0.402 9.083
-2.004 -5.040 1.603
-3.314 -1.776 7.510
-4.607 -1.540 9.996
-2.084 -3.812 6.008
-1.850 -0.657 -0.796
-1.081 0.882 1.752
-3.234 -3.004 3.104
-3.468 -6.158 9.909
-4.238 -7.697 7.361

---

4.
PBE Sr6GePd3, optimized geometry; spin magnetization = 0.0 μB per cell; formation enthalpy at 0 K = -0.476 eV/atom; DOS at the Fermi energy = 7.63 states/eV/cell
1.0
4.698 0.000 0.000
0.000 10.515 -4.180
0.000 0.079 13.419
Sr Ge Pd
12 2 6
Cartesian
3.524 5.063 6.197
1.175 5.531 3.041
3.524 8.919 -2.175
1.175 1.675 11.414
3.524 4.484 -0.606
1.175 6.110 9.844
3.524 7.920 1.249
1.175 2.674 7.989
3.524 1.138 5.237
1.175 9.456 4.002
3.524 8.996 7.242
1.175 1.598 1.997
3.524 1.000 9.193
1.175 9.594 0.046
3.524 3.751 9.676
1.175 6.843 -0.437
3.524 7.358 4.248
1.175 3.236 4.990
3.524 0.916 0.060
1.175 9.678 9.179